First-principles (PBE-GGA) data for a relaxed HgPt crystal, as listed in Alexandria.

Symmetry = Cm (8)
Size of the total moment = 0.00 μB/cell
Electronic total energy = -3.081 eV/atom

Lattice parameters (Å, degrees): 5.5355 5.5355 7.5211 69.77 69.77 31.09
Last column: nearest neighbours and their distance in Å.
Element x y z (fractional)
Hg 0.9648 0.9648 0.0115  6 Pt 2.85-3.09, 4 Hg 2.97-3.08
Hg 0.6387 0.6387 0.2695  7 Pt 2.84-3.01, 3 Hg 2.97-3.10
Hg 0.6635 0.6635 0.6673  7 Pt 2.88-2.93, 5 Hg 2.97-3.10
Pt 0.3562 0.3562 0.3560  7 Hg 2.84-3.01, 4 Pt 2.86-2.97
Pt 0.9503 0.9503 0.6086  6 Pt 2.86-2.97, 6 Hg 2.88-3.09
Pt 0.2598 0.2598 0.9205  7 Hg 2.88-2.97, 4 Pt 2.90-2.97



First-principles (PBE-GGA) data for a relaxed Hg3Pt crystal, as listed in Alexandria.

ΔE to the lowest computed polymorph = 0.130 eV/atom
Symmetry = Cmcm (63)
Size of the total moment = 0.00 μB/cell
Electronic total energy = -1.618 eV/atom

Lattice parameters (Å, degrees): 6.7806 6.7806 4.0092 90.00 90.00 105.95
Last column: nearest neighbours and their distance in Å.
Element x y z (fractional)
Hg 0.4201 0.1919 0.7500  3 Pt 2.84-3.03, 1 Hg 3.17
Hg 0.9022 0.0978 0.7500  2 Pt 2.75, 2 Hg 2.92
Hg 0.1919 0.4201 0.2500  3 Pt 2.84-3.03, 1 Hg 3.17
Hg 0.8081 0.5799 0.7500  3 Pt 2.84-3.03, 1 Hg 3.17
Hg 0.0978 0.9022 0.2500  2 Pt 2.75, 2 Hg 2.92
Hg 0.5799 0.8081 0.2500  3 Pt 2.84-3.03, 1 Hg 3.17
Pt 0.7280 0.2720 0.2500  8 Hg 2.75-3.03
Pt 0.2720 0.7280 0.7500  8 Hg 2.75-3.03



First-principles (PBE-GGA) data for a relaxed Hg5Pt4 crystal, as listed in Alexandria.

Symmetry = I4/mmm (139)
Size of the total moment = 0.00 μB/cell
Electronic total energy = -2.721 eV/atom

Lattice parameters (Å, degrees): 6.6082 6.6082 6.6082 96.10 96.10 141.95
Last column: nearest neighbours and their distance in Å.
Element x y z (fractional)
Hg 0.0000 0.0000 0.0000  4 Pt 3.02, 8 Hg 3.03
Hg 0.3289 0.3289 0.6579  6 Pt 2.91-3.03, 6 Hg 2.92-3.03
Hg 0.3289 0.6711 0.0000  6 Pt 2.91-3.03, 6 Hg 2.92-3.03
Hg 0.6711 0.3289 0.0000  6 Pt 2.91-3.03, 6 Hg 2.92-3.03
Hg 0.6711 0.6711 0.3421  6 Pt 2.91-3.03, 6 Hg 2.92-3.03
Pt 0.0000 0.3415 0.3415  5 Pt 2.80-2.93, 7 Hg 2.91-3.03
Pt 0.0000 0.6585 0.6585  5 Pt 2.80-2.93, 7 Hg 2.91-3.03
Pt 0.3415 0.0000 0.3415  5 Pt 2.80-2.93, 7 Hg 2.91-3.03
Pt 0.6585 0.0000 0.6585  5 Pt 2.80-2.93, 7 Hg 2.91-3.03



First-principles (PBE-GGA) data for a relaxed HgPt crystal, as listed in Alexandria.

Symmetry = Fddd (70)
Size of the total moment = 0.00 μB/cell
Electronic total energy = -3.017 eV/atom

Lattice parameters (Å, degrees): 4.4944 14.5865 9.7364 90.00 90.00 90.00
Last column: nearest neighbours and their distance in Å.
Element x y z (fractional)
Hg 0.0000 0.0000 0.1493  6 Pt 2.76-2.99, 3 Hg 2.91-2.98
Hg 0.0000 0.0000 0.8507  6 Pt 2.76-2.99, 3 Hg 2.91-2.98
Hg 0.2500 0.7500 0.1007  6 Pt 2.76-2.99, 3 Hg 2.91-2.98
Hg 0.2500 0.7500 0.3993  6 Pt 2.76-2.99, 3 Hg 2.91-2.98
Hg 0.0000 0.5000 0.6493  6 Pt 2.76-2.99, 3 Hg 2.91-2.98
Hg 0.0000 0.5000 0.3507  6 Pt 2.76-2.99, 3 Hg 2.91-2.98
Hg 0.2500 0.2500 0.6007  6 Pt 2.76-2.99, 3 Hg 2.91-2.98
Hg 0.2500 0.2500 0.8993  6 Pt 2.76-2.99, 3 Hg 2.91-2.98
Hg 0.5000 0.0000 0.6493  6 Pt 2.76-2.99, 3 Hg 2.91-2.98
Hg 0.5000 0.0000 0.3507  6 Pt 2.76-2.99, 3 Hg 2.91-2.98
Hg 0.7500 0.7500 0.6007  6 Pt 2.76-2.99, 3 Hg 2.91-2.98
Hg 0.7500 0.7500 0.8993  6 Pt 2.76-2.99, 3 Hg 2.91-2.98
Hg 0.5000 0.5000 0.1493  6 Pt 2.76-2.99, 3 Hg 2.91-2.98
Hg 0.5000 0.5000 0.8507  6 Pt 2.76-2.99, 3 Hg 2.91-2.98
Hg 0.7500 0.2500 0.1007  6 Pt 2.76-2.99, 3 Hg 2.91-2.98
Hg 0.7500 0.2500 0.3993  6 Pt 2.76-2.99, 3 Hg 2.91-2.98
Pt 0.0000 0.5910 0.0000  3 Pt 2.66-2.86, 2 Hg 2.76
Pt 0.0000 0.4090 0.0000  3 Pt 2.66-2.86, 2 Hg 2.76
Pt 0.2500 0.1590 0.2500  3 Pt 2.66-2.86, 2 Hg 2.76
Pt 0.2500 0.3410 0.2500  3 Pt 2.66-2.86, 2 Hg 2.76
Pt 0.0000 0.0910 0.5000  3 Pt 2.66-2.86, 2 Hg 2.76
Pt 0.0000 0.9090 0.5000  3 Pt 2.66-2.86, 2 Hg 2.76
Pt 0.2500 0.6590 0.7500  3 Pt 2.66-2.86, 2 Hg 2.76
Pt 0.2500 0.8410 0.7500  3 Pt 2.66-2.86, 2 Hg 2.76
Pt 0.5000 0.5910 0.5000  3 Pt 2.66-2.86, 2 Hg 2.76
Pt 0.5000 0.4090 0.5000  3 Pt 2.66-2.86, 2 Hg 2.76
Pt 0.7500 0.1590 0.7500  3 Pt 2.66-2.86, 2 Hg 2.76
Pt 0.7500 0.3410 0.7500  3 Pt 2.66-2.86, 2 Hg 2.76
Pt 0.5000 0.0910 0.0000  3 Pt 2.66-2.86, 2 Hg 2.76
Pt 0.5000 0.9090 0.0000  3 Pt 2.66-2.86, 2 Hg 2.76
Pt 0.7500 0.6590 0.2500  3 Pt 2.66-2.86, 2 Hg 2.76
Pt 0.7500 0.8410 0.2500  3 Pt 2.66-2.86, 2 Hg 2.76



First-principles (PBE-GGA) data for a relaxed Hg3Pt crystal, as listed in Alexandria.

ΔE to the lowest computed polymorph = 0.175 eV/atom
Symmetry = Pmmm (47)
Size of the total moment = 0.00 μB/cell
Electronic total energy = -1.573 eV/atom

Lattice parameters (Å, degrees): 3.8776 3.8030 5.7456 90.00 90.00 90.00
Last column: nearest neighbours and their distance in Å.
Element x y z (fractional)
Hg 0.0000 0.0000 0.0080  6 Hg 2.78-3.09, 4 Pt 3.05
Hg 0.0000 0.0000 0.4920  6 Hg 2.78-3.09, 4 Pt 3.05
Hg 0.5000 0.5000 0.7500  2 Pt 2.87, 8 Hg 3.09
Pt 0.5000 0.5000 0.2500  10 Hg 2.87-3.05



First-principles (PBE-GGA) data for a relaxed HgPt crystal, as listed in Alexandria.

Symmetry = F-43m (216)
Size of the total moment = 0.00 μB/cell
Electronic total energy = -2.382 eV/atom

Lattice parameters (Å, degrees): 4.3648 4.3648 4.3648 60.00 60.00 60.00
Last column: nearest neighbours and their distance in Å.
Element x y z (fractional)
Hg 0.0000 0.0000 0.0000  4 Pt 2.67
Pt 0.2500 0.2500 0.2500  4 Hg 2.67



First-principles (PBE-GGA) data for a relaxed HgPt2 crystal, as listed in Alexandria.

Symmetry = P-62m (189)
Size of the total moment = 0.00 μB/cell
Electronic total energy = -4.000 eV/atom

Lattice parameters (Å, degrees): 7.9808 7.9808 2.8407 90.00 90.00 120.00
Last column: nearest neighbours and their distance in Å.
Element x y z (fractional)
Hg 0.0000 0.0000 0.5000  2 Hg 2.84, 9 Pt 2.85-2.86
Hg 0.3333 0.6667 0.0000  9 Pt 2.76-2.94, 2 Hg 2.84
Hg 0.6667 0.3333 0.0000  9 Pt 2.76-2.94, 2 Hg 2.84
Pt 0.6895 0.6895 0.0000  4 Hg 2.76-2.86, 8 Pt 2.84-3.04
Pt 0.3573 0.3573 0.5000  8 Pt 2.84-3.04, 5 Hg 2.85-2.94
Pt 0.0000 0.3105 0.0000  4 Hg 2.76-2.86, 8 Pt 2.84-3.04
Pt 0.0000 0.6427 0.5000  8 Pt 2.84-3.04, 5 Hg 2.85-2.94
Pt 0.3105 0.0000 0.0000  4 Hg 2.76-2.86, 8 Pt 2.84-3.04
Pt 0.6427 0.0000 0.5000  8 Pt 2.84-3.04, 5 Hg 2.85-2.94



First-principles (PBE-GGA) data for a relaxed HgPt5 crystal, as listed in Alexandria.

Symmetry = Cmmm (65)
Size of the total moment = 0.00 μB/cell
Electronic total energy = -5.061 eV/atom

Lattice parameters (Å, degrees): 3.9831 4.0461 6.4453 108.29 90.00 90.00
Last column: nearest neighbours and their distance in Å.
Element x y z (fractional)
Hg 0.0000 0.0000 0.0000  12 Pt 2.84-2.90
Pt 0.5000 0.8283 0.6565  10 Pt 2.79-2.92, 2 Hg 2.90
Pt 0.0000 0.6675 0.3351  10 Pt 2.80-2.86, 2 Hg 2.88
Pt 0.5000 0.5000 0.0000  4 Hg 2.84, 8 Pt 2.86-2.92
Pt 0.0000 0.3325 0.6649  10 Pt 2.80-2.86, 2 Hg 2.88
Pt 0.5000 0.1717 0.3435  10 Pt 2.79-2.92, 2 Hg 2.90



First-principles (PBE-GGA) data for a relaxed Hg3Pt crystal, as listed in Alexandria.

ΔE to the lowest computed polymorph = 0.000 eV/atom
Symmetry = Pm-3m (221)
Size of the total moment = 0.00 μB/cell
Electronic total energy = -1.748 eV/atom

Lattice parameters (Å, degrees): 5.3431 5.3431 5.3431 90.00 90.00 90.00
Last column: nearest neighbours and their distance in Å.
Element x y z (fractional)
Hg 0.0000 0.0000 0.5000  2 Pt 2.67
Hg 0.0000 0.5000 0.0000  2 Pt 2.67
Hg 0.5000 0.0000 0.0000  2 Pt 2.67
Pt 0.0000 0.0000 0.0000  6 Hg 2.67



First-principles (PBE-GGA) data for a relaxed HgPt crystal, as listed in Alexandria.

Symmetry = R-3m (166)
Size of the total moment = 0.00 μB/cell
Electronic total energy = -3.056 eV/atom

Lattice parameters (Å, degrees): 5.3519 5.3519 5.3519 49.85 49.85 49.85
Last column: nearest neighbours and their distance in Å.
Element x y z (fractional)
Hg 0.1086 0.1086 0.1086  7 Pt 2.85-3.18, 4 Hg 3.05-3.07
Hg 0.8914 0.8914 0.8914  7 Pt 2.85-3.18, 4 Hg 3.05-3.07
Pt 0.3116 0.3116 0.3116  3 Pt 2.67, 4 Hg 2.85-2.88
Pt 0.6884 0.6884 0.6884  3 Pt 2.67, 4 Hg 2.85-2.88



First-principles (PBE-GGA) data for a relaxed HgPt crystal, as listed in Alexandria.

Symmetry = P4/nmm (129)
Size of the total moment = 0.00 μB/cell
Electronic total energy = -3.043 eV/atom

Lattice parameters (Å, degrees): 3.0061 3.0061 8.3359 90.00 90.00 90.00
Last column: nearest neighbours and their distance in Å.
Element x y z (fractional)
Hg 0.2500 0.2500 0.1510  4 Pt 2.91, 4 Hg 3.01
Hg 0.7500 0.7500 0.8490  4 Pt 2.91, 4 Hg 3.01
Pt 0.2500 0.2500 0.6098  8 Pt 2.81-3.01, 4 Hg 2.91
Pt 0.7500 0.7500 0.3902  8 Pt 2.81-3.01, 4 Hg 2.91



First-principles (PBE-GGA) data for a relaxed HgPt crystal, as listed in Alexandria.

Symmetry = P6_3/mmc (194)
Size of the total moment = 0.00 μB/cell
Electronic total energy = -3.058 eV/atom

Lattice parameters (Å, degrees): 3.0507 3.0507 9.1218 90.00 90.00 120.00
Last column: nearest neighbours and their distance in Å.
Element x y z (fractional)
Hg 0.0000 0.0000 0.0000  6 Pt 2.88, 6 Hg 3.05
Hg 0.0000 0.0000 0.5000  6 Pt 2.88, 6 Hg 3.05
Pt 0.3333 0.6667 0.2500  6 Hg 2.88, 6 Pt 3.05
Pt 0.6667 0.3333 0.7500  6 Hg 2.88, 6 Pt 3.05